The following is a PBE calculation of a relaxed TmLuTl crystal, from Alexandria.

Cell lengths 3.4988, 3.4988, 13.5593 Å; angles 90.00, 90.00, 90.00 degrees
Last column: nearest neighbours and their distance in Å.
Space group I4mm (No. 107)
Unique sites:
Tm 0.0000 0.0000 0.0000 x2  4 Tl 3.30, 4 Lu 3.46, 4 Tm 3.50
Lu 0.0000 0.0000 0.3215 x2  4 Tl 3.29, 4 Tm 3.46, 4 Lu 3.50
Tl 0.0000 0.0000 0.6615 x2  4 Lu 3.29, 4 Tm 3.30, 4 Tl 3.50

Summary:
Energy relative to the elements, eV per atom: -0.219